(1)
## MgIn4S7 (GGA-PBE)

Data for a geometry-optimized MgIn4S7 structure.

Computed properties:
Crystal system: trigonal
Raw formation energy in meV/atom: -657
Symmetry: No. 164
DFT total energy in eV for the cell shown: -49.32
Spin magnetization in μB/f.u.: 0.000

Unit cell a=3.824 b=3.824 c=22.145 alpha=90.00 beta=90.00 gamma=120.00
Fractional positions:
Mg 0.000 0.000 0.500
In 0.667 0.333 0.081
In 0.333 0.667 0.919
In 0.667 0.333 0.352
In 0.333 0.667 0.648
S 0.000 0.000 0.000
S 0.667 0.333 0.566
S 0.333 0.667 0.434
S 0.667 0.333 0.863
S 0.333 0.667 0.137
S 0.000 0.000 0.296
S 0.000 0.000 0.704

(2)
## MgInS2 (GGA-PBE)

Data for a geometry-optimized MgInS2 structure.

Computed properties:
Crystal system: tetragonal
Raw formation energy in meV/atom: -757
Symmetry: No. 122
Density of states at the Fermi level in states/eV/atom: 0.52
DFT total energy in eV for the cell shown: -31.23
Spin magnetization in μB/f.u.: 0.000

Unit cell a=5.977 b=5.977 c=7.386 alpha=66.13 beta=66.13 gamma=90.00
Fractional positions:
S 0.593 0.125 0.250
S 0.157 0.625 0.250
S 0.375 0.407 0.750
S 0.875 0.843 0.750
Mg 0.500 0.500 0.000
Mg 0.250 0.750 0.500
In 0.000 0.000 0.000
In 0.750 0.250 0.500

(3)
## Mg9In26S48 (GGA-PBE)

Data for a geometry-optimized Mg9In26S48 structure.

Computed properties:
Crystal system: monoclinic
Raw formation energy in meV/atom: -748
Symmetry: No. 8
Density of states at the Fermi level in states/eV/atom: 0.02
DFT total energy in eV for the cell shown: -345.78
Spin magnetization in μB/f.u.: 0.000

Unit cell a=7.678 b=7.678 c=37.571 alpha=90.02 beta=90.02 gamma=60.31
Fractional positions:
Mg 0.165 0.165 0.833
Mg 0.833 0.833 0.666
Mg 0.999 0.999 0.750
Mg 0.499 0.499 0.500
Mg 0.666 0.666 0.583
Mg 0.166 0.166 0.334
Mg 0.333 0.333 0.417
Mg 0.835 0.835 0.168
Mg 0.000 0.000 0.251
In 0.500 0.500 0.991
In 0.505 0.505 0.808
In 0.820 0.340 0.918
In 0.340 0.820 0.918
In 0.173 0.173 0.644
In 0.501 0.999 0.750
In 0.999 0.501 0.750
In 0.339 0.339 0.918
In 0.831 0.831 0.857
In 0.840 0.840 0.478
In 0.667 0.167 0.583
In 0.494 0.494 0.689
In 0.834 0.333 0.417
In 0.507 0.507 0.312
In 0.167 0.667 0.583
In 0.333 0.834 0.417
In 0.160 0.160 0.523
In 0.501 0.000 0.252
In 0.168 0.168 0.147
In 0.000 0.501 0.252
In 0.827 0.827 0.357
In 0.671 0.157 0.083
In 0.496 0.496 0.190
In 0.157 0.671 0.083
In 0.671 0.671 0.083
In 0.166 0.166 0.020
S 0.661 0.175 0.955
S 0.175 0.661 0.955
S 0.500 0.500 0.874
S 0.663 0.663 0.955
S 0.013 0.013 0.876
S 0.315 0.862 0.789
S 0.470 0.015 0.875
S 0.862 0.315 0.789
S 0.166 0.166 0.954
S 0.165 0.165 0.711
S 0.321 0.321 0.790
S 0.015 0.470 0.875
S 0.677 0.677 0.708
S 0.983 0.528 0.623
S 0.138 0.684 0.709
S 0.528 0.983 0.623
S 0.835 0.835 0.788
S 0.831 0.831 0.545
S 0.990 0.990 0.624
S 0.684 0.138 0.709
S 0.649 0.194 0.457
S 0.343 0.343 0.542
S 0.194 0.649 0.457
S 0.804 0.351 0.543
S 0.502 0.502 0.621
S 0.498 0.498 0.379
S 0.657 0.657 0.458
S 0.351 0.804 0.543
S 0.316 0.861 0.291
S 0.010 0.010 0.376
S 0.471 0.017 0.377
S 0.861 0.316 0.291
S 0.169 0.169 0.455
S 0.165 0.165 0.214
S 0.324 0.324 0.292
S 0.017 0.471 0.377
S 0.678 0.678 0.210
S 0.988 0.523 0.126
S 0.140 0.683 0.211
S 0.836 0.836 0.289
S 0.523 0.988 0.126
S 0.833 0.833 0.047
S 0.990 0.990 0.126
S 0.683 0.140 0.211
S 0.346 0.346 0.043
S 0.807 0.346 0.043
S 0.499 0.499 0.121
S 0.346 0.807 0.043

> What is the formula in the first record?

MgIn4S7